Material: DySnPt
Method: DFT, meta-GGA SCAN
State: single point on PBEsol structure

Summary:
Its density of states at the Fermi level is 0.9 states/eV/f.u. The energy relative to the elements is -3.885 eV/f.u. Its space-group type is P-62m. The calculation puts the size of the total moment at 0.00 μB/atom.

Cell: 3.9651 7.4056 7.4056 Å, 120.00 90.00 90.00°
Atoms (fractional coordinates):
Pt (0.5000, 0.0000, 0.0000)
Pt (0.0000, 0.6667, 0.3333)
Pt (0.0000, 0.3333, 0.6667)
Dy (0.5000, 0.4062, 0.4062)
Dy (0.5000, 0.0000, 0.5938)
Dy (0.5000, 0.5938, 0.0000)
Sn (0.0000, 0.0000, 0.2591)
Sn (0.0000, 0.7409, 0.7409)
Sn (0.0000, 0.2591, 0.0000)

---

Material: Dy7Te2Pt2
Method: DFT, meta-GGA SCAN
State: single point on PBEsol structure

Summary:
As for the energy relative to the elements, uncorrected: -1.18 eV per atom. Its density of states at the Fermi level is 8.2 states/eV/f.u. Its space-group type is Imm2. The calculation puts the size of the total moment at 0.00 μB/atom.

Cell: 3.8918 9.3003 9.3003 Å, 61.14 77.92 77.92°
Atoms (fractional coordinates):
Te (0.0000, 0.6637, 0.3363)
Te (0.5000, 0.2624, 0.7376)
Pt (0.2374, 0.6895, 0.8356)
Pt (0.7626, 0.1644, 0.3105)
Dy (0.0000, 0.9992, 0.0008)
Dy (0.6442, 0.6210, 0.0906)
Dy (0.3558, 0.9094, 0.3790)
Dy (0.3173, 0.3069, 0.0585)
Dy (0.6827, 0.9415, 0.6931)
Dy (0.1291, 0.2873, 0.4545)
Dy (0.8709, 0.5455, 0.7127)

---

Material: Dy2ZnPt
Method: DFT, meta-GGA SCAN
State: single point on PBEsol structure

Summary:
Its density of states at the Fermi level is 1.7 states/eV/f.u. The energy relative to the elements is -3.871 eV/f.u. Its space-group type is Fm-3m. The calculation puts the size of the total moment at 0.00 μB/atom.

Cell: 4.8994 4.8994 4.8994 Å, 60.00 60.00 60.00°
Atoms (fractional coordinates):
Dy (0.7500, 0.7500, 0.7500)
Dy (0.2500, 0.2500, 0.2500)
Zn (0.0000, 0.0000, 0.0000)
Pt (0.5000, 0.5000, 0.5000)